Entry 1:
{"formula": "Gd2Co3Sn", "functional": "GGA-PBE", "state": "relaxed", "total_magnetization_mub_per_fu": 0.0, "lattice": [[4.311, 0.000, 0.000], [-2.155, 3.733, 0.000], [0.000, 0.000, 6.928]], "species": ["Gd", "Gd", "Co", "Co", "Co", "Sn"], "frac_coords": [[0.333, 0.667, 0.318], [0.667, 0.333, 0.682], [0.000, 0.000, 0.500], [0.333, 0.667, 0.922], [0.667, 0.333, 0.078], [0.000, 0.000, 0.000]]}

***

Entry 2:
{"formula": "CuAg2GeS4", "functional": "GGA-PBE", "state": "relaxed", "lattice": [[7.448, 0.000, 0.000], [0.000, 7.013, 0.000], [0.000, 0.000, 6.530]], "species": ["Cu", "Cu", "Ag", "Ag", "Ag", "Ag", "Ge", "Ge", "S", "S", "S", "S", "S", "S", "S", "S"], "frac_coords": [[0.000, 0.149, 0.000], [0.500, 0.851, 0.500], [0.242, 0.327, 0.517], [0.258, 0.673, 0.017], [0.742, 0.673, 0.017], [0.758, 0.327, 0.517], [0.000, 0.834, 0.505], [0.500, 0.166, 0.005], [0.000, 0.125, 0.353], [0.000, 0.852, 0.853], [0.249, 0.324, 0.904], [0.251, 0.676, 0.404], [0.500, 0.148, 0.353], [0.500, 0.875, 0.853], [0.749, 0.676, 0.404], [0.751, 0.324, 0.904]]}

***

Entry 3:
{"formula": "Pt", "functional": "GGA-PBE", "state": "relaxed", "e_above_lowest_polymorph_mev_per_atom": 146, "total_magnetization_mub_per_fu": 0.0, "lattice": [[-4.867, 4.867, 4.867], [4.867, -4.867, 4.867], [4.867, 4.867, -4.867]], "species": ["Pt", "Pt", "Pt", "Pt", "Pt", "Pt", "Pt", "Pt", "Pt", "Pt", "Pt", "Pt", "Pt", "Pt", "Pt", "Pt", "Pt", "Pt", "Pt", "Pt", "Pt", "Pt", "Pt", "Pt", "Pt", "Pt", "Pt", "Pt", "Pt"], "frac_coords": [[0.000, 0.000, 0.000], [0.000, 0.000, 0.673], [0.000, 0.192, 0.386], [0.000, 0.386, 0.192], [0.000, 0.424, 0.696], [0.000, 0.673, 0.000], [0.000, 0.696, 0.424], [0.192, 0.000, 0.386], [0.192, 0.386, 0.000], [0.194, 0.808, 0.808], [0.271, 0.576, 0.576], [0.304, 0.304, 0.729], [0.304, 0.729, 0.304], [0.327, 0.327, 0.327], [0.386, 0.000, 0.192], [0.386, 0.192, 0.000], [0.424, 0.000, 0.696], [0.424, 0.696, 0.000], [0.576, 0.271, 0.576], [0.576, 0.576, 0.271], [0.614, 0.614, 0.806], [0.614, 0.806, 0.614], [0.673, 0.000, 0.000], [0.696, 0.000, 0.424], [0.696, 0.424, 0.000], [0.729, 0.304, 0.304], [0.806, 0.614, 0.614], [0.808, 0.194, 0.808], [0.808, 0.808, 0.194]]}

***

Entry 4:
{"formula": "SrTbPO", "functional": "GGA-PBE", "state": "relaxed", "e_above_lowest_polymorph_mev_per_atom": 48, "total_magnetization_mub_per_fu": 0.0, "lattice": [[5.454, 0.000, 0.000], [0.000, 5.454, 0.000], [0.000, 0.000, 5.673]], "species": ["Sr", "Sr", "Tb", "Tb", "P", "P", "O", "O"], "frac_coords": [[0.250, 0.250, 0.003], [0.750, 0.750, 0.997], [0.250, 0.750, 0.500], [0.750, 0.250, 0.500], [0.250, 0.250, 0.504], [0.750, 0.750, 0.496], [0.250, 0.750, 0.000], [0.750, 0.250, 0.000]]}

***

It is found that the energy values, taken in the order of the records, are -5.831, -4.023, -5.909, -6.095 eV/atom.